# Ta2HgO2, relaxed, DFT PBE-GGA
# **E**: -79.54 eV for the cell shown
# **ρ**: 13.5 g/cm³
data_Ta2HgO2
_space_group_name_H-M_alt 'P 4/m b m'
_space_group_IT_number 127
_space_group_name_Hall '-P 4 2ab'
_cell_length_a 6.9054
_cell_length_b 6.9054
_cell_length_c 3.0649
_cell_angle_alpha 90.00
_cell_angle_beta 90.00
_cell_angle_gamma 90.00
loop_
_atom_site_label
_atom_site_fract_x
_atom_site_fract_y
_atom_site_fract_z
Ta1 0.1673 0.3327 0.0000
Hg1 0.0000 0.0000 0.5000
O1 0.1261 0.6261 0.0000

=====

# Tb3HgO, relaxed, DFT PBE-GGA
# **E**: -26.10 eV for the cell shown
# **ρ**: 10.6 g/cm³
data_Tb3HgO
_space_group_name_H-M_alt 'P m -3 m'
_space_group_IT_number 221
_space_group_name_Hall '-P 4 2 3'
_cell_length_a 4.7740
_cell_length_b 4.7740
_cell_length_c 4.7740
_cell_angle_alpha 90.00
_cell_angle_beta 90.00
_cell_angle_gamma 90.00
loop_
_atom_site_label
_atom_site_fract_x
_atom_site_fract_y
_atom_site_fract_z
Tb1 0.0000 0.0000 0.5000
Hg1 0.5000 0.5000 0.5000
O1 0.0000 0.0000 0.0000

=====

# Tb2Hg2O5, relaxed, DFT PBE-GGA
# **E**: -45.56 eV for the cell shown
# **ρ**: 10.0 g/cm³
data_Tb2Hg2O5
_space_group_name_H-M_alt 'P 4/m m m'
_space_group_IT_number 123
_space_group_name_Hall '-P 4 2'
_cell_length_a 4.2962
_cell_length_b 4.2962
_cell_length_c 7.1905
_cell_angle_alpha 90.00
_cell_angle_beta 90.00
_cell_angle_gamma 90.00
loop_
_atom_site_label
_atom_site_fract_x
_atom_site_fract_y
_atom_site_fract_z
Tb1 0.0000 0.0000 0.0000
Tb2 0.0000 0.0000 0.5000
Hg1 0.5000 0.5000 0.1927
O1 0.0000 0.5000 0.2115
O2 0.5000 0.5000 0.5000

=====

# Tb2Hg2O5, relaxed, DFT PBE-GGA
# **E**: -50.01 eV for the cell shown
# **ρ**: 8.9 g/cm³
data_Tb2Hg2O5
_space_group_name_H-M_alt 'P 4/m m m'
_space_group_IT_number 123
_space_group_name_Hall '-P 4 2'
_cell_length_a 4.1012
_cell_length_b 4.1012
_cell_length_c 8.8295
_cell_angle_alpha 90.00
_cell_angle_beta 90.00
_cell_angle_gamma 90.00
loop_
_atom_site_label
_atom_site_fract_x
_atom_site_fract_y
_atom_site_fract_z
Tb1 0.0000 0.0000 0.2489
Hg1 0.5000 0.5000 0.0000
Hg2 0.5000 0.5000 0.5000
O1 0.0000 0.0000 0.0000
O2 0.0000 0.5000 0.3387

=====

# TbHgTeO, relaxed, DFT PBE-GGA
# **E**: -77.40 eV for the cell shown
# **ρ**: 8.4 g/cm³
data_TbHgTeO
_space_group_name_H-M_alt 'P 1 21/c 1'
_space_group_IT_number 14
_cell_length_a 7.7269
_cell_length_b 7.5757
_cell_length_c 7.1862
_cell_angle_alpha 90.00
_cell_angle_beta 109.18
_cell_angle_gamma 90.00
loop_
_space_group_symop_operation_xyz
'x,y,z'
'-x,-y,-z'
'-x,y+1/2,-z+1/2'
'x,-y+1/2,z+1/2'
loop_
_atom_site_label
_atom_site_fract_x
_atom_site_fract_y
_atom_site_fract_z
Tb1 0.0021 0.1452 0.1797
Hg1 0.4333 0.7305 0.4871
Te1 0.2972 0.0594 0.6523
O1 0.0507 0.6382 0.6353

=====

# TbHgTeO, relaxed, DFT PBE-GGA
# **E**: -38.05 eV for the cell shown
# **ρ**: 6.3 g/cm³
data_TbHgTeO
_space_group_name_H-M_alt 'P m c 21'
_space_group_IT_number 26
_cell_length_a 4.9842
_cell_length_b 9.1672
_cell_length_c 5.8427
_cell_angle_alpha 90.00
_cell_angle_beta 90.00
_cell_angle_gamma 90.00
loop_
_space_group_symop_operation_xyz
'x,y,z'
'-x,-y,z+1/2'
'-x,y,z'
'x,-y,z+1/2'
loop_
_atom_site_label
_atom_site_fract_x
_atom_site_fract_y
_atom_site_fract_z
Tb1 0.0000 0.1277 0.0000
Hg1 0.5000 0.3040 0.6175
Te1 0.5000 0.3102 0.1224
O1 0.0000 0.0728 0.6580

=====

# TbHgTeO, relaxed, DFT PBE-GGA
# **E**: -39.26 eV for the cell shown
# **ρ**: 9.3 g/cm³
data_TbHgTeO
_space_group_name_H-M_alt 'P 4/n m m'
_space_group_IT_number 129
_cell_length_a 4.1250
_cell_length_b 4.1250
_cell_length_c 10.5975
_cell_angle_alpha 90.00
_cell_angle_beta 90.00
_cell_angle_gamma 90.00
loop_
_space_group_symop_operation_xyz
'x,y,z'
'-x,-y,-z'
'-y+1/2,x,z'
'y+1/2,-x,-z'
'-x+1/2,-y+1/2,z'
'x+1/2,y+1/2,-z'
'y,-x+1/2,z'
'-y,x+1/2,-z'
'x+1/2,-y,-z'
'-x+1/2,y,z'
'-y,-x,-z'
'y,x,z'
'-x,y+1/2,-z'
'x,-y+1/2,z'
'y+1/2,x+1/2,-z'
'-y+1/2,-x+1/2,z'
loop_
_atom_site_label
_atom_site_fract_x
_atom_site_fract_y
_atom_site_fract_z
Tb1 0.2500 0.2500 0.0962
Hg1 0.2500 0.7500 0.5000
Te1 0.2500 0.2500 0.7380
O1 0.2500 0.7500 0.0000

=====

# TbTlHgO3, relaxed, DFT PBE-GGA
# **E**: -128.60 eV for the cell shown
# **ρ**: 9.5 g/cm³
data_TbTlHgO3
_space_group_name_H-M_alt 'C m c m'
_space_group_IT_number 63
_space_group_name_Hall '-C 2c 2'
_cell_length_a 3.5470
_cell_length_b 13.4484
_cell_length_c 8.9341
_cell_angle_alpha 90.00
_cell_angle_beta 90.00
_cell_angle_gamma 90.00
loop_
_atom_site_label
_atom_site_fract_x
_atom_site_fract_y
_atom_site_fract_z
Tb1 0.0000 0.0000 0.0000
Tl1 0.0000 0.3319 0.2500
Hg1 0.0000 0.3536 0.7500
O1 0.0000 0.0436 0.7500
O2 0.0000 0.3924 0.5234

=====

# TbTlHg3O4, relaxed, DFT PBE-GGA
# **E**: -35.04 eV for the cell shown
# **ρ**: 8.3 g/cm³
data_TbTlHg3O4
_space_group_name_H-M_alt 'P -4 3 m'
_space_group_IT_number 215
_space_group_name_Hall 'P -4 2 3'
_cell_length_a 5.9134
_cell_length_b 5.9134
_cell_length_c 5.9134
_cell_angle_alpha 90.00
_cell_angle_beta 90.00
_cell_angle_gamma 90.00
loop_
_atom_site_label
_atom_site_fract_x
_atom_site_fract_y
_atom_site_fract_z
Tb1 0.0000 0.0000 0.0000
Tl1 0.5000 0.5000 0.5000
Hg1 0.0000 0.0000 0.5000
O1 0.2117 0.2117 0.7883

=====

# TcHgO3, relaxed, DFT PBE-GGA
# **E**: -178.52 eV for the cell shown
# **ρ**: 8.4 g/cm³
data_TcHgO3
_space_group_name_H-M_alt 'R -3'
_space_group_IT_number 148
_space_group_name_Hall '-R 3'
_cell_length_a 5.4047
_cell_length_b 5.4047
_cell_length_c 16.2523
_cell_angle_alpha 90.00
_cell_angle_beta 90.00
_cell_angle_gamma 120.00
loop_
_atom_site_label
_atom_site_fract_x
_atom_site_fract_y
_atom_site_fract_z
Tc1 0.0000 0.0000 0.1602
Hg1 0.0000 0.0000 0.3668
O1 0.0068 0.6101 0.4318

=====

# TcHgO3, relaxed, DFT PBE-GGA
# **E**: -117.71 eV for the cell shown
# **ρ**: 9.7 g/cm³
data_TcHgO3
_space_group_name_H-M_alt 'P n m a'
_space_group_IT_number 62
_cell_length_a 5.5418
_cell_length_b 7.7689
_cell_length_c 5.5269
_cell_angle_alpha 90.00
_cell_angle_beta 90.00
_cell_angle_gamma 90.00
loop_
_space_group_symop_operation_xyz
'x,y,z'
'-x,-y,-z'
'-x+1/2,-y,z+1/2'
'x+1/2,y,-z+1/2'
'x+1/2,-y+1/2,-z+1/2'
'-x+1/2,y+1/2,z+1/2'
'-x,y+1/2,-z'
'x,-y+1/2,z'
loop_
_atom_site_label
_atom_site_fract_x
_atom_site_fract_y
_atom_site_fract_z
Tc1 0.0000 0.0000 0.0000
Hg1 0.0068 0.2500 0.4957
O1 0.0012 0.2500 0.9049
O2 0.2374 0.5447 0.7372

=====

# Tc2HgO8, relaxed, DFT PBE-GGA
# **E**: -72.94 eV for the cell shown
# **ρ**: 4.8 g/cm³
data_Tc2HgO8
_space_group_name_H-M_alt 'P -3'
_space_group_IT_number 147
_cell_length_a 6.0362
_cell_length_b 6.0362
_cell_length_c 5.7081
_cell_angle_alpha 90.00
_cell_angle_beta 90.00
_cell_angle_gamma 120.00
loop_
_space_group_symop_operation_xyz
'x,y,z'
'-x,-y,-z'
'-y,x-y,z'
'y,-x+y,-z'
'-x+y,-x,z'
'x-y,x,-z'
loop_
_atom_site_label
_atom_site_fract_x
_atom_site_fract_y
_atom_site_fract_z
Tc1 0.3333 0.6667 0.1770
Hg1 0.0000 0.0000 0.5000
O1 0.1277 0.3555 0.2727
O2 0.3333 0.6667 0.8768

=====

# TcHgO3, relaxed, DFT PBE-GGA
# **E**: -118.06 eV for the cell shown
# **ρ**: 6.7 g/cm³
data_TcHgO3
_space_group_name_H-M_alt 'P n m a'
_space_group_IT_number 62
_cell_length_a 6.2198
_cell_length_b 9.8912
_cell_length_c 5.5791
_cell_angle_alpha 90.00
_cell_angle_beta 90.00
_cell_angle_gamma 90.00
loop_
_space_group_symop_operation_xyz
'x,y,z'
'-x,-y,-z'
'-x+1/2,-y,z+1/2'
'x+1/2,y,-z+1/2'
'x+1/2,-y+1/2,-z+1/2'
'-x+1/2,y+1/2,z+1/2'
'-x,y+1/2,-z'
'x,-y+1/2,z'
loop_
_atom_site_label
_atom_site_fract_x
_atom_site_fract_y
_atom_site_fract_z
Tc1 0.0725 0.2500 0.0711
Hg1 0.0000 0.0000 0.5000
O1 0.1384 0.1044 0.9095
O2 0.2100 0.7500 0.8064

=====

# TcHgO3, relaxed, DFT PBE-GGA
# **E**: -29.39 eV for the cell shown
# **ρ**: 9.6 g/cm³
data_TcHgO3
_space_group_name_H-M_alt 'P 4/m m m'
_space_group_IT_number 123
_space_group_name_Hall '-P 4 2'
_cell_length_a 3.9069
_cell_length_b 3.9069
_cell_length_c 3.9387
_cell_angle_alpha 90.00
_cell_angle_beta 90.00
_cell_angle_gamma 90.00
loop_
_atom_site_label
_atom_site_fract_x
_atom_site_fract_y
_atom_site_fract_z
Tc1 0.0000 0.0000 0.0000
Hg1 0.5000 0.5000 0.5000
O1 0.0000 0.0000 0.5000
O2 0.0000 0.5000 0.0000

=====

# TcHgO3, relaxed, DFT PBE-GGA
# **E**: -27.26 eV for the cell shown
# **ρ**: 8.8 g/cm³
data_TcHgO3
_space_group_name_H-M_alt 'P 4 m m'
_space_group_IT_number 99
_cell_length_a 3.3029
_cell_length_b 3.3029
_cell_length_c 5.9759
_cell_angle_alpha 90.00
_cell_angle_beta 90.00
_cell_angle_gamma 90.00
loop_
_space_group_symop_operation_xyz
'x,y,z'
'-y,x,z'
'-x,-y,z'
'y,-x,z'
'-x,y,z'
'y,x,z'
'x,-y,z'
'-y,-x,z'
loop_
_atom_site_label
_atom_site_fract_x
_atom_site_fract_y
_atom_site_fract_z
Tc1 0.0000 0.0000 0.0000
Hg1 0.5000 0.5000 0.5268
O1 0.0000 0.5000 0.8303
O2 0.5000 0.5000 0.1724

=====

# TcHgO3, relaxed, DFT PBE-GGA
# **E**: -175.08 eV for the cell shown
# **ρ**: 6.8 g/cm³
data_TcHgO3
_space_group_name_H-M_alt 'R -3 c'
_space_group_IT_number 167
_space_group_name_Hall '-R 3 2"c'
_cell_length_a 7.1510
_cell_length_b 7.1510
_cell_length_c 11.3984
_cell_angle_alpha 90.00
_cell_angle_beta 90.00
_cell_angle_gamma 120.00
loop_
_atom_site_label
_atom_site_fract_x
_atom_site_fract_y
_atom_site_fract_z
Tc1 0.0000 0.0000 0.2500
Hg1 0.0000 0.0000 0.0000
O1 0.0000 0.2418 0.2500

=====

# TcHgO3, relaxed, DFT PBE-GGA
# **E**: -176.27 eV for the cell shown
# **ρ**: 9.6 g/cm³
data_TcHgO3
_space_group_name_H-M_alt 'R -3 c'
_space_group_IT_number 167
_space_group_name_Hall '-R 3 2"c'
_cell_length_a 5.5366
_cell_length_b 5.5366
_cell_length_c 13.5170
_cell_angle_alpha 90.00
_cell_angle_beta 90.00
_cell_angle_gamma 120.00
loop_
_atom_site_label
_atom_site_fract_x
_atom_site_fract_y
_atom_site_fract_z
Tc1 0.0000 0.0000 0.0000
Hg1 0.0000 0.0000 0.2500
O1 0.0000 0.4656 0.2500

=====

# Hg3TeO6, relaxed, DFT PBE-GGA
# **E**: -625.51 eV for the cell shown
# **ρ**: 8.8 g/cm³
data_Hg3TeO6
_space_group_name_H-M_alt 'I a -3 d'
_space_group_IT_number 230
_space_group_name_Hall '-I 4bd 2c 3'
_cell_length_a 13.5531
_cell_length_b 13.5531
_cell_length_c 13.5531
_cell_angle_alpha 90.00
_cell_angle_beta 90.00
_cell_angle_gamma 90.00
loop_
_atom_site_label
_atom_site_fract_x
_atom_site_fract_y
_atom_site_fract_z
Hg1 0.0279 0.1250 0.7779
Te1 0.0000 0.0000 0.0000
O1 0.0030 0.0090 0.6445